No. 1
Below is Cs6AsAu2 after structural relaxation, with properties calculated at the PBE-GGA level.

* energy of formation: -287 meV per atom
* calculated volume: 496.2 Å³ per cell

Lattice parameters (Å, degrees): 6.2330 8.7257 10.5821 114.35 107.13 90.00
Last column: nearest neighbours and their distance in Å.
Atoms (fractional coordinates):
As  0.0000  0.0000  0.0000  8 Cs 3.61-3.73
Cs  0.5000  0.2350  0.0000  2 As 3.73, 2 Au 3.83, 1 Cs 4.10
Cs  0.1598  0.9155  0.3194  1 As 3.61, 3 Au 3.80-3.84
Cs  0.8402  0.0845  0.6806  1 As 3.61, 3 Au 3.80-3.84
Au  0.6674  0.6675  0.3351  8 Cs 3.80-3.84
Au  0.3326  0.3325  0.6649  8 Cs 3.80-3.84
Cs  0.8402  0.5961  0.6806  1 As 3.61, 3 Au 3.80-3.84
Cs  0.1598  0.4039  0.3194  1 As 3.61, 3 Au 3.80-3.84
Cs  0.5000  0.7650  0.0000  2 As 3.73, 2 Au 3.83, 1 Cs 4.10

No. 2
Below is CsAsAu after structural relaxation, with properties calculated at the PBE-GGA level.

* energy of formation: -339 meV per atom
* energy relative to the lowest polymorph listed for this composition: 0.088 eV per atom
* calculated volume: 202.5 Å³ per cell

Lattice parameters (Å, degrees): 7.4021 5.3776 6.5527 89.95 63.61 63.43
Last column: nearest neighbours and their distance in Å.
Atoms (fractional coordinates):
Cs  0.1050  0.2500  0.1977  3 As 3.67-3.80, 6 Au 3.75-4.03, 2 Cs 4.02
Cs  0.8950  0.7500  0.8023  3 As 3.67-3.80, 6 Au 3.75-4.03, 2 Cs 4.02
As  0.6152  0.1143  0.4422  1 As 2.39, 2 Au 2.64
Au  0.4999  0.5003  0.2085  2 As 2.64, 1 Au 2.73
As  0.3848  0.8857  0.5578  1 As 2.39, 2 Au 2.64
Au  0.5001  0.4997  0.7915  2 As 2.64, 1 Au 2.73

No. 3
Below is CsAs2Au2 after structural relaxation, with properties calculated at the PBE-GGA level.

* energy of formation: 177 meV per atom
* calculated volume: 244.4 Å³ per cell

Lattice parameters (Å, degrees): 8.8480 8.8480 3.1222 90.00 90.00 90.00
Last column: nearest neighbours and their distance in Å.
Atoms (fractional coordinates):
Cs  0.5000  0.5000  0.0000  2 Cs 3.12
As  0.8509  0.3509  0.5000  4 Au 2.87, 2 As 3.12
Cs  0.0000  0.0000  0.0000  2 Cs 3.12
Au  0.3781  0.8781  0.0000  4 As 2.87, 3 Au 3.05-3.12
Au  0.6219  0.1219  0.0000  4 As 2.87, 3 Au 3.05-3.12
As  0.3509  0.1491  0.5000  4 Au 2.87, 2 As 3.12
As  0.6491  0.8509  0.5000  4 Au 2.87, 2 As 3.12
As  0.1491  0.6491  0.5000  4 Au 2.87, 2 As 3.12
Au  0.1219  0.3781  0.0000  4 As 2.87, 3 Au 3.05-3.12
Au  0.8781  0.6219  0.0000  4 As 2.87, 3 Au 3.05-3.12

No. 4
Below is Cs2As2Au3 after structural relaxation, with properties calculated at the PBE-GGA level.

* energy of formation: -408 meV per atom
* calculated volume: 221.5 Å³ per cell

Lattice parameters (Å, degrees): 4.3779 7.2591 7.3808 82.45 90.01 72.45
Last column: nearest neighbours and their distance in Å.
Atoms (fractional coordinates):
Au  0.2970  0.4058  0.0918  2 As 2.56, 2 Au 2.80
Au  0.7030  0.5942  0.9082  2 As 2.56, 2 Au 2.80
Au  0.0000  0.0000  0.0000  2 As 2.50
Cs  0.3844  0.2307  0.6477  5 Au 3.60-4.02, 5 As 3.85-3.98
Cs  0.6156  0.7693  0.3523  5 Au 3.60-4.02, 5 As 3.85-3.98
As  0.1241  0.7518  0.7840  3 Au 2.50-2.56
As  0.8759  0.2482  0.2160  3 Au 2.50-2.56

No. 5
Below is CsAs2Au4 after structural relaxation, with properties calculated at the PBE-GGA level.

* energy of formation: -86 meV per atom
* calculated volume: 190.2 Å³ per cell

Lattice parameters (Å, degrees): 6.7884 6.4105 6.4107 67.17 55.91 55.91
Last column: nearest neighbours and their distance in Å.
Atoms (fractional coordinates):
Au  0.0000  0.8082  0.1918  2 As 2.60, 3 Au 2.72-2.80
Au  0.6158  0.3045  0.3045  1 As 2.47
As  0.8655  0.4410  0.4410  3 Au 2.47-2.60
Au  0.3842  0.6955  0.6955  1 As 2.47
As  0.1345  0.5590  0.5590  3 Au 2.47-2.60
Au  0.0000  0.1918  0.8082  2 As 2.60, 3 Au 2.72-2.80
Cs  0.5000  0.0000  0.0000  10 Au 3.66-3.92, 2 As 3.67

No. 6
Below is Cs2AsAu3 after structural relaxation, with properties calculated at the PBE-GGA level.

* energy of formation: -264 meV per atom
* calculated volume: 412.6 Å³ per cell

Lattice parameters (Å, degrees): 7.3133 7.3133 9.1319 108.34 108.34 102.37
Last column: nearest neighbours and their distance in Å.
Atoms (fractional coordinates):
Au  0.1743  0.1743  0.3486  1 As 2.54, 2 Au 2.74
Au  0.1718  0.1718  0.8255  1 As 2.53, 2 Au 2.74-2.76
Au  0.8257  0.8257  0.6514  1 As 2.54, 2 Au 2.74
Cs  0.7548  0.2452  0.0000  2 As 3.90, 10 Au 3.90-3.92
Cs  0.2500  0.7500  0.5000  8 Au 3.84-3.85, 4 As 3.90
As  0.3352  0.3352  0.6704  3 Au 2.53-2.54
Au  0.3462  0.3462  0.1745  1 As 2.53, 2 Au 2.74-2.76
As  0.6648  0.6648  0.3296  3 Au 2.53-2.54
Cs  0.7500  0.2500  0.5000  8 Au 3.84-3.85, 4 As 3.90
Au  0.6538  0.6538  0.8255  1 As 2.53, 2 Au 2.74-2.76
Au  0.8282  0.8282  0.1745  1 As 2.53, 2 Au 2.74-2.76
Cs  0.2452  0.7548  0.0000  2 As 3.90, 10 Au 3.90-3.92

No. 7
Below is Cs2As2Au after structural relaxation, with properties calculated at the PBE-GGA level.

* energy of formation: -55 meV per atom
* calculated volume: 226.3 Å³ per cell

Lattice parameters (Å, degrees): 6.9043 6.9043 6.8096 59.54 59.54 90.00
Last column: nearest neighbours and their distance in Å.
Atoms (fractional coordinates):
As  0.6168  0.6168  0.7663  1 As 2.22
Cs  0.7500  0.2500  0.5000  4 As 3.68
Cs  0.2500  0.7500  0.5000  4 As 3.68
As  0.3832  0.3832  0.2337  1 As 2.22
Au  0.0000  0.0000  0.0000  2 As 3.64

No. 8
Below is CsAsAu3 after structural relaxation, with properties calculated at the PBE-GGA level.

* energy of formation: -128 meV per atom
* energy relative to the lowest polymorph listed for this composition: 0.024 eV per atom
* calculated volume: 141.7 Å³ per cell

Lattice parameters (Å, degrees): 5.2137 5.2137 5.2137 90.00 90.00 90.00
Last column: nearest neighbours and their distance in Å.
Atoms (fractional coordinates):
As  0.0000  0.0000  0.0000  6 Au 2.61
Cs  0.5000  0.5000  0.5000  12 Au 3.69
Au  0.5000  0.0000  0.0000  2 As 2.61
Au  0.0000  0.0000  0.5000  2 As 2.61
Au  0.0000  0.5000  0.0000  2 As 2.61

No. 9
Below is CsAsAu after structural relaxation, with properties calculated at the PBE-GGA level.

* energy of formation: -426 meV per atom
* energy relative to the lowest polymorph listed for this composition: 0.000 eV per atom
* calculated volume: 456.2 Å³ per cell

Lattice parameters (Å, degrees): 7.0709 7.0678 9.6125 90.00 90.00 108.28
Last column: nearest neighbours and their distance in Å.
Atoms (fractional coordinates):
As  0.0329  0.4671  0.3762  2 Au 2.49, 1 As 2.50
Cs  0.6900  0.8101  0.4524  3 As 3.58-4.00, 2 Au 3.75
Au  0.2736  0.7262  0.7500  2 As 2.49
Au  0.7736  0.2262  0.7500  2 As 2.49
Au  0.2264  0.7738  0.2500  2 As 2.49
Cs  0.8100  0.6899  0.9524  3 As 3.58-4.00, 2 Au 3.75
Au  0.7264  0.2738  0.2500  2 As 2.49
As  0.4671  0.0329  0.8762  2 Au 2.49, 1 As 2.50
As  0.5329  0.9671  0.1238  2 Au 2.49, 1 As 2.50
As  0.9671  0.5329  0.6238  2 Au 2.49, 1 As 2.50
Cs  0.1900  0.3101  0.0476  3 As 3.58-4.00, 2 Au 3.75
Cs  0.3100  0.1899  0.5476  3 As 3.58-4.00, 2 Au 3.75

No. 10
Below is CsAsAu after structural relaxation, with properties calculated at the PBE-GGA level.

* energy of formation: -145 meV per atom
* energy relative to the lowest polymorph listed for this composition: 0.281 eV per atom
* calculated volume: 92.9 Å³ per cell

Lattice parameters (Å, degrees): 3.7888 3.7888 7.0043 105.69 105.69 90.00
Last column: nearest neighbours and their distance in Å.
Atoms (fractional coordinates):
Au  0.2680  0.2680  0.5361  4 As 2.73
Cs  0.0025  0.0025  0.0050  1 Au 3.44, 1 As 3.53, 4 Cs 3.79
As  0.7295  0.7295  0.4589  4 Au 2.73